No. 1
Crystalline Ce2AlZnPd6 at its relaxed geometry, computed with PBE.

**Volume**: 21.39 Å³/atom
**Fermi-level density of states**: 15.2 states/eV/cell
**E_tot**: -53.7 eV per cell
**Energy of formation from the pure elements**: -0.563 eV per atom

Lattice parameters (Å, degrees): 5.6940 5.6940 8.3062 110.16 110.16 59.98
Fractional coordinates of all 10 atoms:
Ce  0.2156  0.2156  0.1456
Ce  0.7844  0.7844  0.8544
Al  0.5000  0.5000  0.0000
Zn  0.0000  0.0000  0.5000
Pd  0.2443  0.7494  0.2412
Pd  0.2505  0.2505  0.7597
Pd  0.2506  0.7557  0.7588
Pd  0.7494  0.2443  0.2412
Pd  0.7495  0.7495  0.2403
Pd  0.7557  0.2506  0.7588


No. 2
Crystalline BaAc2Rh at its relaxed geometry, computed with PBE.

**Volume**: 43.42 Å³/atom
**Relative energy among the computed polymorphs**: 0.0 kJ per mole of atoms
**Fermi-level density of states**: 4.0 states/eV/cell
**E_tot**: -19.2 eV per cell
**Energy of formation from the pure elements**: -0.421 eV per atom

Lattice parameters (Å, degrees): 10.8118 10.8118 10.8118 23.31 23.31 23.31
Fractional coordinates of all 4 atoms:
Ba  0.0000  0.0000  0.0000
Ac  0.5488  0.5488  0.5488
Ac  0.7812  0.7812  0.7812
Rh  0.1646  0.1646  0.1646


No. 3
Crystalline Y2CdTc at its relaxed geometry, computed with PBE.

**Volume**: 24.72 Å³/atom
**Fermi-level density of states**: 4.9 states/eV/cell
**E_tot**: -23.9 eV per cell
**Energy of formation from the pure elements**: 0.075 eV per atom

Lattice parameters (Å, degrees): 9.4187 9.4187 9.4187 21.56 21.56 21.56
Fractional coordinates of all 4 atoms:
Y  0.2395  0.2395  0.2395
Y  0.7605  0.7605  0.7605
Cd  0.0000  0.0000  0.0000
Tc  0.5000  0.5000  0.5000


No. 4
Crystalline ZrAs2Ir at its relaxed geometry, computed with PBE.

**Volume**: 16.87 Å³/atom
**Relative energy among the computed polymorphs**: 6.3 kJ per mole of atoms
**Fermi-level density of states**: 2.1 states/eV/cell
**E_tot**: -28.7 eV per cell
**Energy of formation from the pure elements**: -0.499 eV per atom

Lattice parameters (Å, degrees): 4.5838 4.5838 3.2108 90.00 90.00 90.00
Fractional coordinates of all 4 atoms:
Zr  0.0000  0.0000  0.0000
As  0.0000  0.5000  0.5000
As  0.5000  0.0000  0.5000
Ir  0.5000  0.5000  0.0000


No. 5
Crystalline K2TcPt at its relaxed geometry, computed with PBE.

**Volume**: 20.70 Å³/atom
**Relative energy among the computed polymorphs**: 42.8 kJ per mole of atoms
**Fermi-level density of states**: 2.7 states/eV/cell
**E_tot**: -15.1 eV per cell
**Energy of formation from the pure elements**: 0.870 eV per atom

Lattice parameters (Å, degrees): 6.3750 6.3750 2.8262 101.66 101.66 126.29
Fractional coordinates of all 4 atoms:
K  0.0000  0.5000  0.0000
K  0.5000  0.0000  0.0000
Tc  0.0000  0.0000  0.5000
Pt  0.5000  0.5000  0.5000


No. 6
Crystalline Sr2YThAs4 at its relaxed geometry, computed with PBE.

**Volume**: 29.03 Å³/atom
**Fermi-level density of states**: 7.0 states/eV/cell
**E_tot**: -46.0 eV per cell
**Energy of formation from the pure elements**: -1.274 eV per atom

Lattice parameters (Å, degrees): 7.4420 4.3313 7.6268 90.00 109.17 90.00
Fractional coordinates of all 8 atoms:
Sr  0.0000  0.0000  0.0000
Sr  0.5000  0.5000  0.0000
Y  0.0000  0.5000  0.5000
Th  0.5000  0.0000  0.5000
As  0.2393  0.0000  0.7250
As  0.2554  0.5000  0.2734
As  0.7446  0.5000  0.7266
As  0.7607  0.0000  0.2750


No. 7
Crystalline Ca2C at its relaxed geometry, computed with PBE.

**Volume**: 24.01 Å³/atom
**Relative energy among the computed polymorphs**: 30.6 kJ per mole of atoms
**Fermi-level density of states**: 5.2 states/eV/cell
**E_tot**: -36.5 eV per cell
**Energy of formation from the pure elements**: 0.352 eV per atom

Lattice parameters (Å, degrees): 6.5167 6.5167 5.8764 90.00 90.00 120.00
Fractional coordinates of all 9 atoms:
Ca  0.0000  0.3402  0.2677
Ca  0.0000  0.6598  0.7323
Ca  0.3402  0.0000  0.2677
Ca  0.3402  0.3402  0.7323
Ca  0.6598  0.0000  0.7323
Ca  0.6598  0.6598  0.2677
C  0.0000  0.0000  0.0000
C  0.3333  0.6667  0.5000
C  0.6667  0.3333  0.5000


No. 8
Crystalline ScTa2Au at its relaxed geometry, computed with PBE.

**Volume**: 18.95 Å³/atom
**Relative energy among the computed polymorphs**: 3.4 kJ per mole of atoms
**Fermi-level density of states**: 3.5 states/eV/cell
**E_tot**: -33.7 eV per cell
**Energy of formation from the pure elements**: -0.089 eV per atom

Lattice parameters (Å, degrees): 2.9693 2.9693 8.5980 90.00 90.00 90.00
Fractional coordinates of all 4 atoms:
Sc  0.0000  0.0000  0.0000
Ta  0.0000  0.0000  0.5176
Ta  0.5000  0.5000  0.2655
Au  0.5000  0.5000  0.7542


No. 9
Crystalline NaBSeN2 at its relaxed geometry, computed with PBE.

**Volume**: 21.57 Å³/atom
**Uncorrected formation energy**: 2.739 eV/atom
**Relative energy among the computed polymorphs**: 143.4 kJ per mole of atoms
**Fermi-level density of states**: 3.6 states/eV/cell
**E_tot**: -14.4 eV per cell

Lattice parameters (Å, degrees): 4.3307 4.3307 5.7496 90.00 90.00 90.00
Fractional coordinates of all 5 atoms:
Na  0.0000  0.0000  0.0000
B  0.5000  0.5000  0.5000
Se  0.0000  0.0000  0.5000
N  0.0000  0.5000  0.0000
N  0.5000  0.0000  0.0000


No. 10
Crystalline PdSeO2 at its relaxed geometry, computed with PBE.

**Volume**: 13.10 Å³/atom
**Uncorrected formation energy**: 0.108 eV/atom
**Fermi-level density of states**: 2.2 states/eV/cell
**E_tot**: -36.3 eV per cell

Lattice parameters (Å, degrees): 7.1124 7.1124 7.1124 147.26 147.26 46.97
Fractional coordinates of all 8 atoms:
Pd  0.0000  0.0000  0.0000
Pd  0.7500  0.2500  0.5000
Se  0.2500  0.7500  0.5000
Se  0.5000  0.5000  0.0000
O  0.1425  0.6250  0.0175
O  0.3750  0.3925  0.5175
O  0.6075  0.1250  0.9825
O  0.8750  0.8575  0.4825


No. 11
Crystalline TiFe3Si at its relaxed geometry, computed with PBE.

**Volume**: 16.10 Å³/atom
**Uncorrected formation energy**: 1.222 eV/atom
**Relative energy among the computed polymorphs**: 77.5 kJ per mole of atoms
**Fermi-level density of states**: 4.7 states/eV/cell
**E_tot**: -32.6 eV per cell

Lattice parameters (Å, degrees): 4.3179 4.3179 4.3179 90.00 90.00 90.00
Fractional coordinates of all 5 atoms:
Ti  0.0000  0.0000  0.0000
Fe  0.0000  0.0000  0.5000
Fe  0.0000  0.5000  0.0000
Fe  0.5000  0.0000  0.0000
Si  0.5000  0.5000  0.5000


No. 12
Crystalline CsLaBTe2 at its relaxed geometry, computed with PBE.

**Volume**: 49.32 Å³/atom
**Uncorrected formation energy**: 1.745 eV/atom
**Fermi-level density of states**: 5.5 states/eV/cell
**E_tot**: -10.0 eV per cell

Lattice parameters (Å, degrees): 6.4781 6.4781 5.8757 90.00 90.00 90.00
Fractional coordinates of all 5 atoms:
Cs  0.0000  0.0000  0.0000
La  0.0000  0.0000  0.5000
B  0.5000  0.5000  0.5000
Te  0.0000  0.5000  0.0000
Te  0.5000  0.0000  0.0000


Question: Fermi-level density of states of number 10 (PdSeO2)?
Answer: 2.2 states/eV/cell


Question: Among the records above, which one has the lowest Fermi-level density of states?
Answer: ZrAs2Ir


Question: The lowest Fermi-level density of states belongs to which entry?
Answer: ZrAs2Ir


Question: What is the formula in the sixth record?
Answer: Sr2YThAs4